# 1
{"formula": "GeAs2Cl", "functional": "GGA-PBE", "state": "optimized geometry", "de_polymorph_ev_per_atom": 0.000, "formation_energy_uncorrected_ev_per_atom": -0.102, "lattice": [[4.560, 0.000, 0.000], [-0.072, 6.794, 0.000], [-1.376, -1.795, 14.762]], "species": ["Ge", "Ge", "Ge", "Ge", "As", "As", "As", "As", "As", "As", "As", "As", "Cl", "Cl", "Cl", "Cl"], "frac_coords": [[0.031, 0.271, 0.080], [0.454, 0.475, 0.665], [0.546, 0.525, 0.335], [0.969, 0.729, 0.920], [0.148, 0.096, 0.462], [0.187, 0.628, 0.519], [0.314, 0.087, 0.955], [0.336, 0.607, 0.043], [0.664, 0.393, 0.957], [0.686, 0.913, 0.045], [0.813, 0.372, 0.481], [0.852, 0.904, 0.538], [0.086, 0.364, 0.747], [0.449, 0.219, 0.251], [0.551, 0.781, 0.749], [0.914, 0.636, 0.253]]}

# 2
{"formula": "Th2Tl9In", "functional": "GGA-PBE", "state": "optimized geometry", "formation_energy_ev_per_fu": -0.7, "lattice": [[4.796, 0.000, 0.000], [0.000, 4.796, 0.000], [0.000, 0.000, 15.072]], "species": ["Th", "Th", "Tl", "Tl", "Tl", "Tl", "Tl", "Tl", "Tl", "Tl", "Tl", "In"], "frac_coords": [[0.000, 0.000, 0.156], [0.000, 0.000, 0.844], [0.000, 0.500, 0.000], [0.000, 0.500, 0.328], [0.000, 0.500, 0.672], [0.500, 0.000, 0.000], [0.500, 0.000, 0.328], [0.500, 0.000, 0.672], [0.500, 0.500, 0.164], [0.500, 0.500, 0.500], [0.500, 0.500, 0.836], [0.000, 0.000, 0.500]]}